# MnHgP2

MnHgP2 after structural relaxation (PBEsol, Alexandria via LeMat-Bulk).

Properties
Calculated formation energy: 0.0494 eV/atom
Density of states at the Fermi level: 0.33 states/eV/atom
VASP energy: -5.43 eV/atom

abc: 6.8207 6.8207 3.6682
angles: 103.45 103.45 23.12
Closest atoms and distances in Å follow each position.
Positions (direct):
1 Mn 0.0000 0.0000 0.0000  6 P 2.25-2.36
2 Hg 0.3136 0.3136 0.8575  2 Hg 2.73, 2 Mn 2.78
3 P 0.5231 0.5231 0.5396  1 P 2.14, 4 Mn 2.25-2.36
4 P 0.6427 0.6427 0.2399  1 P 2.14, 2 Mn 2.34

# MnHgP2

MnHgP2 after structural relaxation (PBEsol, Alexandria via LeMat-Bulk).

Properties
Calculated formation energy: 0.0967 eV/atom
Density of states at the Fermi level: 0.67 states/eV/atom
VASP energy: -5.38 eV/atom

abc: 2.8847 2.8847 7.8827
angles: 90.00 90.00 90.00
Closest atoms and distances in Å follow each position.
Positions (direct):
1 Mn 0.0000 0.0000 0.0000  5 P 2.11-2.24
2 Hg 0.5000 0.5000 0.5505  1 P 2.61, 4 Hg 2.88
3 P 0.0000 0.0000 0.2670  1 Mn 2.11
4 P 0.5000 0.5000 0.8812  4 Mn 2.24